This record from the Alexandria database describes an optimized crystal structure of CaW2O. The functional is PBE+U.

Electronic total energy = -4.92 eV/atom
Magnetization = 3.8 μB per formula unit

Geometry as CIF:
```
data_CaW2O
_chemical_formula_sum 'Ca4 W8 O4'
_symmetry_space_group_name_H-M 'I 41/a m d'
_symmetry_Int_Tables_number 141
_cell_length_a 6.506
_cell_length_b 6.506
_cell_length_c 9.217
_cell_angle_alpha 90.00
_cell_angle_beta 90.00
_cell_angle_gamma 90.00
loop_
_symmetry_equiv_pos_as_xyz
'x,y,z'
'-x,-y,-z'
'-y+1/4,x+3/4,z+1/4'
'y+1/4,-x+3/4,-z+1/4'
'-x+1/2,-y,z+1/2'
'x+1/2,y,-z+1/2'
'y+1/4,-x+1/4,z+3/4'
'-y+1/4,x+1/4,-z+3/4'
'x,-y,-z'
'-x,y,z'
'-y+1/4,-x+1/4,-z+3/4'
'y+1/4,x+1/4,z+3/4'
'-x+1/2,y,-z+1/2'
'x+1/2,-y,z+1/2'
'y+1/4,x+3/4,-z+1/4'
'-y+1/4,-x+3/4,z+1/4'
'x+1/2,y+1/2,z+1/2'
'-x+1/2,-y+1/2,-z+1/2'
'-y+3/4,x+1/4,z+3/4'
'y+3/4,-x+1/4,-z+3/4'
'-x,-y+1/2,z'
'x,y+1/2,-z'
'y+3/4,-x+3/4,z+1/4'
'-y+3/4,x+3/4,-z+1/4'
'x+1/2,-y+1/2,-z+1/2'
'-x+1/2,y+1/2,z+1/2'
'-y+3/4,-x+3/4,-z+1/4'
'y+3/4,x+3/4,z+1/4'
'-x,y+1/2,-z'
'x,-y+1/2,z'
'y+3/4,x+1/4,-z+3/4'
'-y+3/4,-x+1/4,z+3/4'
loop_
_atom_site_label
_atom_site_fract_x
_atom_site_fract_y
_atom_site_fract_z
Ca1 0.000 0.250 0.375
W1 0.000 0.000 0.000
O1 0.000 0.250 0.875
```